[1]
First-principles (PBE) data for BaAsAu2 after structural relaxation, as listed in the Alexandria database.

Results
total DFT energy (no corrections)	-3.648	eV per atom
D(E_F)	0.3001	states/eV/atom
energy of formation	-1.467	eV per formula unit
space group	Immm

Structure (CIF):
```
data_BaAsAu2
_chemical_formula_sum 'Ba1 As1 Au2'
_space_group_name_H-M_alt 'P 1'
_space_group_IT_number 1
_cell_length_a 5.507
_cell_length_b 5.507
_cell_length_c 5.507
_cell_angle_alpha 131.52
_cell_angle_beta 113.65
_cell_angle_gamma 86.33
loop_
_space_group_symop_operation_xyz
'x,y,z'
loop_
_atom_site_label
_atom_site_type_symbol
_atom_site_fract_x
_atom_site_fract_y
_atom_site_fract_z
As1 As 0.250 0.750 0.500
Au1 Au 0.061 0.061 0.000
Au2 Au 0.439 0.439 0.000
Ba1 Ba 0.750 0.250 0.500
```

---

[2]
First-principles (PBE) data for Ti2TcNi2 after structural relaxation, as listed in the Alexandria database.

Results
total DFT energy (no corrections)	-7.789	eV per atom
D(E_F)	1.4797	states/eV/atom
distance to the lowest polymorph of the same formula	38.0	kJ/mol of formula units
energy of formation	-1.226	eV per formula unit
space group	P4/mbm

Structure (CIF):
```
data_Ti2TcNi2
_chemical_formula_sum 'Ti4 Tc2 Ni4'
_space_group_name_H-M_alt 'P 1'
_space_group_IT_number 1
_cell_length_a 6.930
_cell_length_b 6.930
_cell_length_c 2.864
_cell_angle_alpha 90.00
_cell_angle_beta 90.00
_cell_angle_gamma 90.00
loop_
_space_group_symop_operation_xyz
'x,y,z'
loop_
_atom_site_label
_atom_site_type_symbol
_atom_site_fract_x
_atom_site_fract_y
_atom_site_fract_z
Ni1 Ni 0.377 0.877 0.000
Ni2 Ni 0.877 0.623 0.000
Ni3 Ni 0.623 0.123 0.000
Ni4 Ni 0.123 0.377 0.000
Tc1 Tc 0.000 0.000 0.000
Tc2 Tc 0.500 0.500 0.000
Ti1 Ti 0.176 0.676 0.500
Ti2 Ti 0.676 0.824 0.500
Ti3 Ti 0.824 0.324 0.500
Ti4 Ti 0.324 0.176 0.500
```

---

> Which value of energy of formation does entry 2 give?

-1.226 eV per formula unit

---

Please write out number 1 again, unchanged.
First-principles (PBE) data for BaAsAu2 after structural relaxation, as listed in the Alexandria database.

Results
total DFT energy (no corrections)	-3.648	eV per atom
D(E_F)	0.3001	states/eV/atom
energy of formation	-1.467	eV per formula unit
space group	Immm

Structure (CIF):
```
data_BaAsAu2
_chemical_formula_sum 'Ba1 As1 Au2'
_space_group_name_H-M_alt 'P 1'
_space_group_IT_number 1
_cell_length_a 5.507
_cell_length_b 5.507
_cell_length_c 5.507
_cell_angle_alpha 131.52
_cell_angle_beta 113.65
_cell_angle_gamma 86.33
loop_
_space_group_symop_operation_xyz
'x,y,z'
loop_
_atom_site_label
_atom_site_type_symbol
_atom_site_fract_x
_atom_site_fract_y
_atom_site_fract_z
As1 As 0.250 0.750 0.500
Au1 Au 0.061 0.061 0.000
Au2 Au 0.439 0.439 0.000
Ba1 Ba 0.750 0.250 0.500
```

---

> What is the D(E_F) in the first record?

0.3001 states/eV/atom